Ag3PdAu3: optimized geometry, PBE.

Cell lengths 6.8268, 6.8268, 19.6904 Å; angles 90.00, 90.00, 120.00 degrees
Space group R-3 (No. 148, hexagonal axes)
Unique sites:
Ag1 0.0469 0.7745 0.2054 (multiplicity 18)
Pd1 0.0000 0.0000 0.3271 (multiplicity 6)
Au1 0.0330 0.7682 0.0574 (multiplicity 18)

Summary:
DOS at the Fermi energy = 0.23 states/eV per atom
Mass density = 12.8 g cm⁻³
Crystal system = trigonal
Polymorph energy (0 for the lowest one) = 0.000 eV/atom
DFT total energy = -138.8 eV for the cell shown